No. 1
The following is a DFT calculation (PBE) of crystalline TeAs at its relaxed geometry.

The structure in CIF format:
```
data_TeAs
_chemical_formula_sum 'Te2 As2'
_symmetry_space_group_name_H-M 'P 1'
_symmetry_Int_Tables_number 1
_cell_length_a 4.975
_cell_length_b 5.017
_cell_length_c 6.256
_cell_angle_alpha 85.71
_cell_angle_beta 75.98
_cell_angle_gamma 71.02
loop_
_symmetry_equiv_pos_as_xyz
'x,y,z'
loop_
_atom_site_label
_atom_site_type_symbol
_atom_site_fract_x
_atom_site_fract_y
_atom_site_fract_z
Te1 Te 0.513 0.509 0.455
Te2 Te 0.013 0.159 0.908
As1 As 0.870 0.015 0.563
As2 As 0.542 0.761 0.801
```

Properties
Formation energy from raw total energies: 0.070 eV per atom


No. 2
The following is a DFT calculation (PBE) of crystalline Sr2YTa at its relaxed geometry.

The structure in CIF format:
```
data_Sr2YTa
_chemical_formula_sum 'Sr2 Y1 Ta1'
_symmetry_space_group_name_H-M 'P 1'
_symmetry_Int_Tables_number 1
_cell_length_a 7.089
_cell_length_b 7.089
_cell_length_c 7.089
_cell_angle_alpha 149.49
_cell_angle_beta 127.59
_cell_angle_gamma 61.86
loop_
_symmetry_equiv_pos_as_xyz
'x,y,z'
loop_
_atom_site_label
_atom_site_type_symbol
_atom_site_fract_x
_atom_site_fract_y
_atom_site_fract_z
Sr1 Sr 0.287 0.787 0.500
Y1 Y 0.703 0.203 0.500
Ta1 Ta 0.516 0.516 0.000
Sr2 Sr 0.994 0.994 0.000
```

Properties
DOS at the Fermi energy: 0.83 states/eV per atom
Energy above the most stable polymorph in this dataset: 184 meV per atom
ΔE_f: 0.735 eV per atom


No. 3
The following is a DFT calculation (PBE) of crystalline Ac8SmSn6 at its relaxed geometry.

The structure in CIF format:
```
data_Ac8SmSn6
_chemical_formula_sum 'Ac8 Sm1 Sn6'
_symmetry_space_group_name_H-M 'P 1'
_symmetry_Int_Tables_number 1
_cell_length_a 9.822
_cell_length_b 9.822
_cell_length_c 9.026
_cell_angle_alpha 57.04
_cell_angle_beta 57.04
_cell_angle_gamma 60.00
loop_
_symmetry_equiv_pos_as_xyz
'x,y,z'
loop_
_atom_site_label
_atom_site_type_symbol
_atom_site_fract_x
_atom_site_fract_y
_atom_site_fract_z
Sn1 Sn 0.741 0.390 0.803
Sm1 Sm 0.000 0.000 0.000
Ac1 Ac 0.665 0.665 0.004
Ac2 Ac 0.558 0.232 0.313
Ac3 Ac 0.104 0.442 0.687
Ac4 Ac 0.768 0.104 0.687
Ac5 Ac 0.896 0.558 0.313
Ac6 Ac 0.442 0.768 0.687
Sn2 Sn 0.934 0.259 0.197
Sn3 Sn 0.259 0.610 0.197
Ac7 Ac 0.232 0.896 0.313
Ac8 Ac 0.335 0.335 0.996
Sn4 Sn 0.066 0.741 0.803
Sn5 Sn 0.390 0.066 0.803
Sn6 Sn 0.610 0.934 0.197
```

Properties
DOS at the Fermi energy: 0.57 states/eV per atom
ΔE_f: -0.525 eV per atom


No. 4
The following is a DFT calculation (PBE) of crystalline Er2HfTh at its relaxed geometry.

The structure in CIF format:
```
data_Er2HfTh
_chemical_formula_sum 'Er2 Hf1 Th1'
_symmetry_space_group_name_H-M 'P 1'
_symmetry_Int_Tables_number 1
_cell_length_a 4.954
_cell_length_b 4.783
_cell_length_c 4.783
_cell_angle_alpha 90.00
_cell_angle_beta 90.00
_cell_angle_gamma 90.00
loop_
_symmetry_equiv_pos_as_xyz
'x,y,z'
loop_
_atom_site_label
_atom_site_type_symbol
_atom_site_fract_x
_atom_site_fract_y
_atom_site_fract_z
Th1 Th 0.500 0.500 0.500
Er1 Er 0.000 0.500 0.000
Er2 Er 0.000 0.000 0.500
Hf1 Hf 0.500 0.000 0.000
```

Properties
DOS at the Fermi energy: 1.13 states/eV per atom
Energy above the most stable polymorph in this dataset: 0 meV per atom
ΔE_f: 0.107 eV per atom


No. 5
The following is a DFT calculation (PBE) of crystalline La5Dy4Cd at its relaxed geometry.

The structure in CIF format:
```
data_La5Dy4Cd
_chemical_formula_sum 'La5 Dy4 Cd1'
_symmetry_space_group_name_H-M 'P 1'
_symmetry_Int_Tables_number 1
_cell_length_a 3.737
_cell_length_b 3.737
_cell_length_c 24.089
_cell_angle_alpha 90.00
_cell_angle_beta 90.00
_cell_angle_gamma 90.00
loop_
_symmetry_equiv_pos_as_xyz
'x,y,z'
loop_
_atom_site_label
_atom_site_type_symbol
_atom_site_fract_x
_atom_site_fract_y
_atom_site_fract_z
Cd1 Cd 0.000 0.000 0.000
La1 La 0.500 0.500 0.704
Dy1 Dy 0.000 0.000 0.602
La2 La 0.500 0.500 0.089
Dy2 Dy 0.000 0.000 0.193
Dy3 Dy 0.000 0.000 0.807
La3 La 0.500 0.500 0.296
La4 La 0.500 0.500 0.911
Dy4 Dy 0.000 0.000 0.398
La5 La 0.500 0.500 0.500
```

Properties
DOS at the Fermi energy: 1.35 states/eV per atom
ΔE_f: -0.039 eV per atom


No. 6
The following is a DFT calculation (PBE) of crystalline MnZn2Se at its relaxed geometry.

The structure in CIF format:
```
data_MnZn2Se
_chemical_formula_sum 'Mn1 Zn2 Se1'
_symmetry_space_group_name_H-M 'P 1'
_symmetry_Int_Tables_number 1
_cell_length_a 4.325
_cell_length_b 4.325
_cell_length_c 5.828
_cell_angle_alpha 100.48
_cell_angle_beta 100.48
_cell_angle_gamma 48.06
loop_
_symmetry_equiv_pos_as_xyz
'x,y,z'
loop_
_atom_site_label
_atom_site_type_symbol
_atom_site_fract_x
_atom_site_fract_y
_atom_site_fract_z
Se1 Se 0.861 0.861 0.667
Zn1 Zn 0.209 0.209 0.254
Mn1 Mn 0.535 0.535 0.477
Zn2 Zn 0.894 0.894 0.101
```

Properties
DOS at the Fermi energy: 0.46 states/eV per atom
Formation energy from raw total energies: -0.020 eV per atom


No. 7
The following is a DFT calculation (PBE) of crystalline NaSmYSn at its relaxed geometry.

The structure in CIF format:
```
data_NaSmYSn
_chemical_formula_sum 'Na1 Sm1 Y1 Sn1'
_symmetry_space_group_name_H-M 'P 1'
_symmetry_Int_Tables_number 1
_cell_length_a 5.387
_cell_length_b 5.387
_cell_length_c 5.387
_cell_angle_alpha 60.00
_cell_angle_beta 60.00
_cell_angle_gamma 60.00
loop_
_symmetry_equiv_pos_as_xyz
'x,y,z'
loop_
_atom_site_label
_atom_site_type_symbol
_atom_site_fract_x
_atom_site_fract_y
_atom_site_fract_z
Y1 Y 0.000 0.000 0.000
Sm1 Sm 0.500 0.500 0.500
Sn1 Sn 0.250 0.250 0.250
Na1 Na 0.750 0.750 0.750
```

Properties
DOS at the Fermi energy: 0.89 states/eV per atom
ΔE_f: -0.306 eV per atom


No. 8
The following is a DFT calculation (PBE) of crystalline Pm2NdDyTm2 at its relaxed geometry.

The structure in CIF format:
```
data_Pm2NdDyTm2
_chemical_formula_sum 'Pm4 Nd2 Dy2 Tm4'
_symmetry_space_group_name_H-M 'P 1'
_symmetry_Int_Tables_number 1
_cell_length_a 5.653
_cell_length_b 9.817
_cell_length_c 7.013
_cell_angle_alpha 90.00
_cell_angle_beta 90.00
_cell_angle_gamma 90.00
loop_
_symmetry_equiv_pos_as_xyz
'x,y,z'
loop_
_atom_site_label
_atom_site_type_symbol
_atom_site_fract_x
_atom_site_fract_y
_atom_site_fract_z
Pm1 Pm 0.500 0.833 0.252
Nd1 Nd 0.000 0.000 0.000
Dy1 Dy 0.000 0.000 0.500
Nd2 Nd 0.500 0.500 0.500
Dy2 Dy 0.500 0.500 0.000
Pm2 Pm 0.500 0.167 0.748
Tm1 Tm 0.000 0.334 0.750
Tm2 Tm 0.000 0.666 0.250
Pm3 Pm 0.000 0.667 0.752
Tm3 Tm 0.500 0.166 0.250
Pm4 Pm 0.000 0.333 0.248
Tm4 Tm 0.500 0.834 0.750
```

Properties
DOS at the Fermi energy: 1.57 states/eV per atom
ΔE_f: 0.067 eV per atom


No. 9
The following is a DFT calculation (PBE) of crystalline LiTmThMg at its relaxed geometry.

The structure in CIF format:
```
data_LiTmThMg
_chemical_formula_sum 'Li1 Tm1 Th1 Mg1'
_symmetry_space_group_name_H-M 'P 1'
_symmetry_Int_Tables_number 1
_cell_length_a 5.307
_cell_length_b 5.307
_cell_length_c 5.307
_cell_angle_alpha 60.00
_cell_angle_beta 60.00
_cell_angle_gamma 60.00
loop_
_symmetry_equiv_pos_as_xyz
'x,y,z'
loop_
_atom_site_label
_atom_site_type_symbol
_atom_site_fract_x
_atom_site_fract_y
_atom_site_fract_z
Th1 Th 0.750 0.750 0.750
Mg1 Mg 0.500 0.500 0.500
Tm1 Tm 0.250 0.250 0.250
Li1 Li 0.000 0.000 0.000
```

Properties
DOS at the Fermi energy: 1.34 states/eV per atom
ΔE_f: 0.142 eV per atom


No. 10
The following is a DFT calculation (PBE) of crystalline Tb7Zn2Co2 at its relaxed geometry.

The structure in CIF format:
```
data_Tb7Zn2Co2
_chemical_formula_sum 'Tb7 Zn2 Co2'
_symmetry_space_group_name_H-M 'P 1'
_symmetry_Int_Tables_number 1
_cell_length_a 6.623
_cell_length_b 6.922
_cell_length_c 6.623
_cell_angle_alpha 90.00
_cell_angle_beta 110.60
_cell_angle_gamma 90.00
loop_
_symmetry_equiv_pos_as_xyz
'x,y,z'
loop_
_atom_site_label
_atom_site_type_symbol
_atom_site_fract_x
_atom_site_fract_y
_atom_site_fract_z
Zn1 Zn 0.833 0.500 0.833
Tb1 Tb 0.000 0.253 0.500
Tb2 Tb 0.000 0.000 0.000
Tb3 Tb 0.500 0.755 0.500
Co1 Co 0.704 0.000 0.296
Zn2 Zn 0.167 0.500 0.167
Tb4 Tb 0.500 0.245 0.500
Tb5 Tb 0.500 0.253 0.000
Tb6 Tb 0.500 0.747 0.000
Co2 Co 0.296 0.000 0.704
Tb7 Tb 0.000 0.747 0.500
```

Properties
DOS at the Fermi energy: 1.09 states/eV per atom
ΔE_f: -0.100 eV per atom


No. 11
The following is a DFT calculation (PBE) of crystalline Pm3AgB2Pt9 at its relaxed geometry.

The structure in CIF format:
```
data_Pm3AgB2Pt9
_chemical_formula_sum 'Pm3 Ag1 B2 Pt9'
_symmetry_space_group_name_H-M 'P 1'
_symmetry_Int_Tables_number 1
_cell_length_a 5.775
_cell_length_b 5.775
_cell_length_c 9.588
_cell_angle_alpha 90.00
_cell_angle_beta 90.00
_cell_angle_gamma 120.00
loop_
_symmetry_equiv_pos_as_xyz
'x,y,z'
loop_
_atom_site_label
_atom_site_type_symbol
_atom_site_fract_x
_atom_site_fract_y
_atom_site_fract_z
Pt1 Pt 0.000 0.500 0.000
Pt2 Pt 0.835 0.165 0.723
B1 B 0.333 0.667 0.146
Pm1 Pm 0.333 0.667 0.612
Pm2 Pm 0.667 0.333 0.388
Pt3 Pt 0.500 0.000 0.000
Pt4 Pt 0.165 0.331 0.277
Pt5 Pt 0.165 0.835 0.277
Pt6 Pt 0.331 0.165 0.723
Pt7 Pt 0.835 0.669 0.723
B2 B 0.667 0.333 0.854
Pt8 Pt 0.500 0.500 0.000
Ag1 Ag 0.000 0.000 0.500
Pt9 Pt 0.669 0.835 0.277
Pm3 Pm 0.000 0.000 0.000
```

Properties
DOS at the Fermi energy: 0.35 states/eV per atom
ΔE_f: -0.729 eV per atom


No. 12
The following is a DFT calculation (PBE) of crystalline Mg2TcCl at its relaxed geometry.

The structure in CIF format:
```
data_Mg2TcCl
_chemical_formula_sum 'Mg2 Tc1 Cl1'
_symmetry_space_group_name_H-M 'P 1'
_symmetry_Int_Tables_number 1
_cell_length_a 5.391
_cell_length_b 5.391
_cell_length_c 5.018
_cell_angle_alpha 75.52
_cell_angle_beta 75.52
_cell_angle_gamma 31.46
loop_
_symmetry_equiv_pos_as_xyz
'x,y,z'
loop_
_atom_site_label
_atom_site_type_symbol
_atom_site_fract_x
_atom_site_fract_y
_atom_site_fract_z
Cl1 Cl 0.198 0.198 0.240
Tc1 Tc 0.528 0.528 0.546
Mg1 Mg 0.987 0.987 0.040
Mg2 Mg 0.787 0.787 0.673
```

Properties
DOS at the Fermi energy: 0.10 states/eV per atom
Energy above the most stable polymorph in this dataset: 214 meV per atom
Formation energy from raw total energies: -0.048 eV per atom


Taking the records one at a time from the top gives calculated density values of 4.70 5.21 7.58 10.92 7.19 5.53 5.72 7.98 6.79 7.95 13.92 4.11 g/cm³.